Material: AcFe2SiO6
Method: DFT, PBE with a Hubbard U
State: optimized geometry

a b c (Å): 5.2013 5.2425 5.6966
angles (deg): 63.36 64.20 61.61
Closest atoms and distances in Å follow each position.
Sites, in units of the cell vectors:
Ac 0.0000 0.0000 0.0000  3 O 2.39-2.42
Fe 0.2154 0.2143 0.3533  5 O 1.91-2.08
Fe 0.7246 0.7389 0.7801  4 O 2.00-2.20
Si 0.5263 0.5444 0.3893  6 O 1.77-1.88
O 0.1580 0.7995 0.5636  1 Si 1.88, 1 Fe 2.06
O 0.3872 0.5279 0.1502  1 Si 1.85, 1 Fe 1.91
O 0.4405 0.1895 0.5835  1 Si 1.84, 1 Fe 2.04
O 0.5320 0.9134 0.1300  1 Si 1.84
O 0.7465 0.4894 0.5848  1 Si 1.77
O 0.9074 0.4009 0.1525  1 Si 1.87, 1 Fe 1.98

Raw total energy, Ry/atom: -0.527